Below is TbSm6Dy3Ho2 after structural relaxation, with properties calculated at the PBE level.

DOS at the Fermi energy	14.5	states/eV per cell
formation enthalpy at 0 K	0.013	eV per atom

a = 6.2116 Å, b = 6.2116 Å, c = 11.8304 Å
α = 95.00°, β = 95.00°, γ = 119.98°
Positions (direct):
Sm  0.9163  0.5828  0.7501
Sm  0.4172  0.0837  0.2499
Sm  0.2499  0.2499  0.7501
Sm  0.5828  0.9163  0.7501
Sm  0.0837  0.4172  0.2499
Sm  0.7501  0.7501  0.2499
Ho  0.6667  0.3333  0.0000
Ho  0.3333  0.6667  0.0000
Dy  0.8333  0.1667  0.5000
Dy  0.1667  0.8333  0.5000
Dy  0.5000  0.5000  0.5000
Tb  0.0000  0.0000  0.0000